1.
Entry from Alexandria via LeMat-Bulk: a relaxed structure of CrHgPb2 (PBE).

abc: 6.318 6.318 6.318
angles: 148.17 129.62 60.83
Sites, in units of the cell vectors:
Cr 0.490 0.490 0.000
Hg 0.282 0.782 0.500
Pb 0.008 0.008 0.000
Pb 0.720 0.220 0.500

Calculated values
* DOS at the Fermi energy: 2.7 states/eV/cell
* DFT total energy: -0.147 Ha/atom


2.
Entry from Alexandria via LeMat-Bulk: a relaxed structure of Cr3HgPb (PBE).

abc: 5.351 5.351 5.351
angles: 90.00 90.00 90.00
Sites, in units of the cell vectors:
Pb 0.000 0.000 0.000
Cr 0.000 0.500 0.000
Cr 0.000 0.000 0.500
Cr 0.500 0.000 0.000
Hg 0.500 0.500 0.500

Calculated values
* ΔE to the lowest computed polymorph: 5.91 kJ per mole of atoms
* DOS at the Fermi energy: 2.9 states/eV/cell
* DFT total energy: -0.191 Ha/atom


3.
Entry from Alexandria via LeMat-Bulk: a relaxed structure of CrHgPb2 (PBE).

abc: 3.795 5.177 5.177
angles: 90.00 90.00 90.00
Sites, in units of the cell vectors:
Cr 0.500 0.500 0.000
Hg 0.500 0.000 0.500
Pb 0.000 0.000 0.000
Pb 0.000 0.500 0.500

Calculated values
* DOS at the Fermi energy: 2.0 states/eV/cell
* DFT total energy: -0.146 Ha/atom


4.
Entry from Alexandria via LeMat-Bulk: a relaxed structure of Cr3HgPb (PBE).

abc: 5.157 5.157 5.157
angles: 90.00 90.00 90.00
Sites, in units of the cell vectors:
Pb 0.500 0.500 0.500
Cr 0.000 0.500 0.000
Cr 0.000 0.000 0.500
Cr 0.500 0.000 0.000
Hg 0.000 0.000 0.000

Calculated values
* ΔE to the lowest computed polymorph: 0.00 kJ per mole of atoms
* DOS at the Fermi energy: 4.0 states/eV/cell
* DFT total energy: -0.194 Ha/atom


5.
Entry from Alexandria via LeMat-Bulk: a relaxed structure of CrHgPb2 (PBE).

abc: 7.326 7.326 4.713
angles: 71.31 71.31 26.34
Sites, in units of the cell vectors:
Cr 0.750 0.750 0.750
Hg 0.250 0.250 0.250
Pb 0.062 0.062 0.938
Pb 0.438 0.438 0.562

Calculated values
* DOS at the Fermi energy: 2.2 states/eV/cell
* DFT total energy: -0.147 Ha/atom


6.
Entry from Alexandria via LeMat-Bulk: a relaxed structure of CrHgPb2 (PBE).

abc: 11.014 11.014 11.014
angles: 17.50 17.50 17.50
Sites, in units of the cell vectors:
Cr 0.250 0.250 0.250
Hg 0.750 0.750 0.750
Pb 0.991 0.991 0.991
Pb 0.509 0.509 0.509

Calculated values
* DOS at the Fermi energy: 2.4 states/eV/cell
* DFT total energy: -0.145 Ha/atom


7.
Entry from Alexandria via LeMat-Bulk: a relaxed structure of CrHgPb2 (PBE).

abc: 5.575 5.575 5.575
angles: 128.96 128.74 75.25
Sites, in units of the cell vectors:
Cr 0.750 0.250 0.500
Hg 0.250 0.750 0.500
Pb 0.000 0.000 0.000
Pb 0.500 0.500 0.000

Calculated values
* DOS at the Fermi energy: 2.2 states/eV/cell
* DFT total energy: -0.145 Ha/atom


8.
Entry from Alexandria via LeMat-Bulk: a relaxed structure of CrHgPb2 (PBE).

abc: 4.707 3.738 6.102
angles: 72.25 90.00 90.00
Sites, in units of the cell vectors:
Cr 0.000 0.702 0.472
Hg 0.500 0.555 0.764
Pb 0.000 0.962 0.950
Pb 0.500 0.281 0.314

Calculated values
* DOS at the Fermi energy: 2.0 states/eV/cell
* DFT total energy: -0.147 Ha/atom


9.
Entry from Alexandria via LeMat-Bulk: a relaxed structure of Rb2CrHgPb (PBE).

abc: 7.231 5.617 7.231
angles: 90.00 90.00 90.00
Sites, in units of the cell vectors:
Pb 0.000 0.000 0.000
Cr 0.500 0.500 0.500
Hg 0.000 0.500 0.000
Rb 0.000 0.000 0.500
Rb 0.500 0.000 0.000

Calculated values
* DOS at the Fermi energy: 3.3 states/eV/cell
* DFT total energy: -0.089 Ha/atom


10.
Entry from Alexandria via LeMat-Bulk: a relaxed structure of ScCr2HgPb (PBE).

abc: 5.246 5.528 5.246
angles: 90.00 90.00 90.00
Sites, in units of the cell vectors:
Pb 0.000 0.000 0.000
Cr 0.000 0.000 0.500
Cr 0.500 0.000 0.000
Sc 0.000 0.500 0.000
Hg 0.500 0.500 0.500

Calculated values
* DOS at the Fermi energy: 4.3 states/eV/cell
* DFT total energy: -0.180 Ha/atom


11.
Entry from Alexandria via LeMat-Bulk: a relaxed structure of CrSnHg2Pb (PBE).

abc: 5.534 5.208 5.534
angles: 90.00 90.00 90.00
Sites, in units of the cell vectors:
Pb 0.500 0.500 0.500
Cr 0.000 0.500 0.000
Hg 0.000 0.000 0.500
Hg 0.500 0.000 0.000
Sn 0.000 0.000 0.000

Calculated values
* DOS at the Fermi energy: 3.1 states/eV/cell
* DFT total energy: -0.108 Ha/atom


12.
Entry from Alexandria via LeMat-Bulk: a relaxed structure of Ta2CrHgPb (PBE).

abc: 5.178 5.180 5.178
angles: 90.00 90.00 90.00
Sites, in units of the cell vectors:
Pb 0.000 0.000 0.000
Cr 0.500 0.500 0.500
Hg 0.000 0.500 0.000
Ta 0.000 0.000 0.500
Ta 0.500 0.000 0.000

Calculated values
* DOS at the Fermi energy: 4.4 states/eV/cell
* DFT total energy: -0.175 Ha/atom


13.
Entry from Alexandria via LeMat-Bulk: a relaxed structure of CrHgPb2W (PBE).

abc: 5.645 5.645 5.298
angles: 90.00 90.00 90.00
Sites, in units of the cell vectors:
Pb 0.000 0.500 0.000
Pb 0.500 0.000 0.000
Cr 0.500 0.500 0.500
Hg 0.000 0.000 0.000
W 0.000 0.000 0.500

Calculated values
* DOS at the Fermi energy: 4.2 states/eV/cell
* DFT total energy: -0.153 Ha/atom


14.
Entry from Alexandria via LeMat-Bulk: a relaxed structure of CrHgPd2 (PBE).

abc: 3.828 4.160 4.160
angles: 90.00 90.00 90.00
Sites, in units of the cell vectors:
Cr 0.500 0.500 0.500
Hg 0.500 0.000 0.000
Pd 0.000 0.000 0.500
Pd 0.000 0.500 0.000

Calculated values
* DOS at the Fermi energy: 2.3 states/eV/cell
* DFT total energy: -0.188 Ha/atom


15.
Entry from Alexandria via LeMat-Bulk: a relaxed structure of CrHg2Pd (PBE).

abc: 4.700 4.700 4.700
angles: 60.00 60.00 60.00
Sites, in units of the cell vectors:
Cr 0.000 0.000 0.000
Hg 0.250 0.250 0.250
Hg 0.750 0.750 0.750
Pd 0.500 0.500 0.500

Calculated values
* ΔE to the lowest computed polymorph: 0.00 kJ per mole of atoms
* DOS at the Fermi energy: 2.1 states/eV/cell
* DFT total energy: -0.137 Ha/atom


16.
Entry from Alexandria via LeMat-Bulk: a relaxed structure of CrHgPd6 (PBE).

abc: 3.963 3.963 8.019
angles: 90.00 90.00 90.00
Sites, in units of the cell vectors:
Cr 0.000 0.000 0.500
Hg 0.000 0.000 0.000
Pd 0.500 0.500 0.000
Pd 0.500 0.500 0.500
Pd 0.500 0.000 0.265
Pd 0.500 0.000 0.735
Pd 0.000 0.500 0.265
Pd 0.000 0.500 0.735

Calculated values
* DOS at the Fermi energy: 11.0 states/eV/cell
* DFT total energy: -0.192 Ha/atom


17.
Entry from Alexandria via LeMat-Bulk: a relaxed structure of Cr2HgPd9 (PBE).

abc: 3.945 3.945 11.944
angles: 90.00 90.00 90.00
Sites, in units of the cell vectors:
Cr 0.000 0.000 0.337
Cr 0.000 0.000 0.663
Hg 0.000 0.000 0.000
Pd 0.500 0.500 0.000
Pd 0.500 0.500 0.340
Pd 0.500 0.500 0.660
Pd 0.500 0.000 0.179
Pd 0.500 0.000 0.500
Pd 0.500 0.000 0.821
Pd 0.000 0.500 0.179
Pd 0.000 0.500 0.500
Pd 0.000 0.500 0.821

Calculated values
* DOS at the Fermi energy: 18.2 states/eV/cell
* DFT total energy: -0.206 Ha/atom


18.
Entry from Alexandria via LeMat-Bulk: a relaxed structure of CrHgPd2 (PBE).

abc: 7.217 7.217 5.817
angles: 51.66 51.66 90.00
Sites, in units of the cell vectors:
Cr 0.500 0.500 0.000
Cr 0.250 0.750 0.500
Hg 0.000 0.000 0.000
Hg 0.750 0.250 0.500
Pd 0.604 0.125 0.250
Pd 0.146 0.625 0.250
Pd 0.375 0.396 0.750
Pd 0.875 0.854 0.750

Calculated values
* DOS at the Fermi energy: 5.9 states/eV/cell
* DFT total energy: -0.176 Ha/atom


19.
Entry from Alexandria via LeMat-Bulk: a relaxed structure of CrHg2Pd (PBE).

abc: 7.565 7.565 6.083
angles: 51.55 51.55 90.00
Sites, in units of the cell vectors:
Cr 0.500 0.500 0.000
Cr 0.250 0.750 0.500
Hg 0.629 0.125 0.250
Hg 0.121 0.625 0.250
Hg 0.375 0.371 0.750
Hg 0.875 0.879 0.750
Pd 0.000 0.000 0.000
Pd 0.750 0.250 0.500

Calculated values
* ΔE to the lowest computed polymorph: 23.62 kJ per mole of atoms
* DOS at the Fermi energy: 4.3 states/eV/cell
* DFT total energy: -0.128 Ha/atom


20.
Entry from Alexandria via LeMat-Bulk: a relaxed structure of Cr3HgPd12 (PBE).

abc: 3.940 3.940 15.812
angles: 90.00 90.00 90.00
Sites, in units of the cell vectors:
Cr 0.000 0.000 0.255
Cr 0.000 0.000 0.500
Cr 0.000 0.000 0.745
Hg 0.000 0.000 0.000
Pd 0.500 0.500 0.000
Pd 0.500 0.500 0.256
Pd 0.500 0.500 0.500
Pd 0.500 0.500 0.744
Pd 0.500 0.000 0.136
Pd 0.500 0.000 0.378
Pd 0.500 0.000 0.622
Pd 0.500 0.000 0.864
Pd 0.000 0.500 0.136
Pd 0.000 0.500 0.378
Pd 0.000 0.500 0.622
Pd 0.000 0.500 0.864

Calculated values
* DOS at the Fermi energy: 25.0 states/eV/cell
* DFT total energy: -0.213 Ha/atom


21.
Entry from Alexandria via LeMat-Bulk: a relaxed structure of CrHg2Pd9 (PBE).

abc: 3.980 3.980 12.165
angles: 90.00 90.00 90.00
Sites, in units of the cell vectors:
Cr 0.000 0.000 0.000
Hg 0.000 0.000 0.329
Hg 0.000 0.000 0.671
Pd 0.500 0.500 0.000
Pd 0.500 0.500 0.326
Pd 0.500 0.500 0.674
Pd 0.500 0.000 0.154
Pd 0.500 0.000 0.500
Pd 0.500 0.000 0.846
Pd 0.000 0.500 0.154
Pd 0.000 0.500 0.500
Pd 0.000 0.500 0.846

Calculated values
* DOS at the Fermi energy: 16.7 states/eV/cell
* DFT total energy: -0.178 Ha/atom


22.
Entry from Alexandria via LeMat-Bulk: a relaxed structure of CrHg4Pd15 (PBE).

abc: 4.005 4.005 20.282
angles: 90.00 90.00 90.00
Sites, in units of the cell vectors:
Cr 0.000 0.000 0.000
Hg 0.000 0.000 0.195
Hg 0.000 0.000 0.398
Hg 0.000 0.000 0.602
Hg 0.000 0.000 0.805
Pd 0.500 0.500 0.000
Pd 0.500 0.500 0.194
Pd 0.500 0.500 0.398
Pd 0.500 0.500 0.602
Pd 0.500 0.500 0.806
Pd 0.500 0.000 0.092
Pd 0.500 0.000 0.297
Pd 0.500 0.000 0.500
Pd 0.500 0.000 0.703
Pd 0.500 0.000 0.908
Pd 0.000 0.500 0.092
Pd 0.000 0.500 0.297
Pd 0.000 0.500 0.500
Pd 0.000 0.500 0.703
Pd 0.000 0.500 0.908

Calculated values
* DOS at the Fermi energy: 26.8 states/eV/cell
* DFT total energy: -0.167 Ha/atom


23.
Entry from Alexandria via LeMat-Bulk: a relaxed structure of CrHg3Pd6 (PBE).

abc: 4.213 8.678 9.286
angles: 95.48 90.00 90.00
Sites, in units of the cell vectors:
Cr 0.250 0.946 0.611
Cr 0.750 0.054 0.389
Hg 0.250 0.550 0.400
Hg 0.750 0.450 0.600
Hg 0.250 0.346 0.797
Hg 0.750 0.654 0.203
Hg 0.250 0.759 0.993
Hg 0.750 0.241 0.007
Pd 0.250 0.448 0.100
Pd 0.750 0.552 0.900
Pd 0.250 0.146 0.204
Pd 0.750 0.854 0.796
Pd 0.250 0.659 0.695
Pd 0.750 0.341 0.305
Pd 0.250 0.227 0.497
Pd 0.750 0.773 0.503
Pd 0.250 0.866 0.319
Pd 0.750 0.134 0.681
Pd 0.250 0.050 0.893
Pd 0.750 0.950 0.107

Calculated values
* DOS at the Fermi energy: 14.3 states/eV/cell
* DFT total energy: -0.157 Ha/atom


24.
Entry from Alexandria via LeMat-Bulk: a relaxed structure of CrHgPd2 (PBE).

abc: 3.113 3.113 6.826
angles: 90.00 90.00 90.00
Sites, in units of the cell vectors:
Cr 0.500 0.500 0.000
Hg 0.500 0.500 0.500
Pd 0.000 0.000 0.782
Pd 0.000 0.000 0.218

Calculated values
* DOS at the Fermi energy: 3.1 states/eV/cell
* DFT total energy: -0.187 Ha/atom


25.
Entry from Alexandria via LeMat-Bulk: a relaxed structure of CrReHgPd2 (PBE).

abc: 4.643 4.417 4.643
angles: 90.00 90.00 90.00
Sites, in units of the cell vectors:
Re 0.000 0.500 0.000
Hg 0.500 0.500 0.500
Pd 0.000 0.000 0.500
Pd 0.500 0.000 0.000
Cr 0.000 0.000 0.000

Calculated values
* DOS at the Fermi energy: 3.9 states/eV/cell
* DFT total energy: -0.200 Ha/atom


Going through the records in order, we get E_form values of 7.84, 31.49, 8.52, 30.08, 7.55, 9.14, 8.90, 7.97, 15.79, 23.63, 14.93, 62.30, 43.56, -0.75, 3.13, -2.33, -2.12, 6.95, 8.77, -1.99, -2.22, -2.35, -2.40, -0.42, 25.83 kcal/mol of atoms.